# 1
## Ca2Zn5CuPd2 (GGA-PBE)

Data for an optimized crystal structure of Ca2Zn5CuPd2.

Cell: 9.751 9.751 3.867 Å, 90.00 90.00 90.00°
Sites, in units of the cell vectors:
Ca1 0.179 0.321 0.000
Ca2 0.321 0.821 0.000
Ca3 0.679 0.179 0.000
Ca4 0.821 0.679 0.000
Zn1 0.000 0.500 0.500
Zn2 0.055 0.808 0.500
Zn3 0.192 0.055 0.500
Zn4 0.308 0.555 0.500
Zn5 0.445 0.308 0.500
Zn6 0.500 0.000 0.500
Zn7 0.555 0.692 0.500
Zn8 0.692 0.445 0.500
Zn9 0.808 0.945 0.500
Zn10 0.945 0.192 0.500
Cu1 0.000 0.000 0.000
Cu2 0.500 0.500 0.000
Pd1 0.119 0.619 0.000
Pd2 0.381 0.119 0.000
Pd3 0.619 0.881 0.000
Pd4 0.881 0.381 0.000

Space-group type: P4/mbm (127)
N(E_F): 5.9 states/eV/f.u.
Energy relative to the elements: -319 meV per atom

***

# 2
## CaZn3CuPd (GGA-PBE)

Data for an optimized crystal structure of CaZn3CuPd.

Cell: 7.046 7.046 5.600 Å, 90.00 90.00 127.61°
Sites, in units of the cell vectors:
Ca1 0.221 0.779 0.750
Ca2 0.779 0.221 0.250
Zn1 0.203 0.203 0.000
Zn2 0.203 0.203 0.500
Zn3 0.353 0.647 0.250
Zn4 0.647 0.353 0.750
Zn5 0.797 0.797 0.000
Zn6 0.797 0.797 0.500
Cu1 0.442 0.558 0.750
Cu2 0.558 0.442 0.250
Pd1 0.147 0.853 0.250
Pd2 0.853 0.147 0.750

Space-group type: Cmcm (63)
N(E_F): 2.5 states/eV/f.u.
Energy relative to the elements: -219 meV per atom